Ac2InGa2: optimized geometry, PBE.

Structure (POSCAR):
```
Ac2InGa2
1.0
6.0159 -2.4015 0.0000
6.0159 2.4015 0.0000
-5.3530 0.0000 10.1074
Ac In Ga
4 2 4
direct
0.0037 0.0037 0.1760
0.1837 0.1837 0.6001
0.8163 0.8163 0.3999
0.9963 0.9963 0.8240
0.2859 0.2859 0.1492
0.7141 0.7141 0.8508
0.3621 0.3621 0.9385
0.4768 0.4768 0.6076
0.5232 0.5232 0.3924
0.6379 0.6379 0.0615
```

Computed properties:
energy of formation from the pure elements = -513 meV/atom
crystal system = monoclinic
total energy = -39.15 eV for the cell shown
SG = C2/m (12)
magnetic moment = 0.006 Bohr magnetons per cell